! PBE LiBPtPb2, relaxed; values from VASP
&SYSTEM
  ibrav = 0, nat = 5, ntyp = 4
/
ATOMIC_SPECIES
Pb 207.20 Pb.upf
B 10.81 B.upf
Pt 195.08 Pt.upf
Li 6.94 Li.upf
ATOMIC_POSITIONS crystal
Pb 0.0000 0.0000 0.5000
Pb 0.5000 0.0000 0.0000
B 0.5000 0.5000 0.5000
Pt 0.0000 0.0000 0.0000
Li 0.0000 0.5000 0.0000
CELL_PARAMETERS angstrom
5.3596 0.0000 0.0000
0.0000 4.7894 0.0000
0.0000 0.0000 5.3596
! Space group ... P4/mmm (123)

! PBE NaSn2Cl8, relaxed; values from VASP
&SYSTEM
  ibrav = 0, nat = 11, ntyp = 3
/
ATOMIC_SPECIES
Na 22.99 Na.upf
Sn 118.71 Sn.upf
Cl 35.45 Cl.upf
ATOMIC_POSITIONS crystal
Na 0.0000 0.0000 0.0000
Sn 0.1761 0.3333 0.6666
Sn 0.8239 0.6667 0.3334
Cl 0.1396 0.6667 0.3333
Cl 0.8604 0.3333 0.6666
Cl 0.7302 0.8405 0.1595
Cl 0.2698 0.1595 0.3190
Cl 0.2698 0.6810 0.8405
Cl 0.2698 0.1595 0.8405
Cl 0.7302 0.8405 0.6810
Cl 0.7302 0.3190 0.1595
CELL_PARAMETERS angstrom
7.5039 0.0002 0.0001
-0.0004 6.6528 -3.8399
0.0004 -0.0016 7.6814
! ΔE_f (raw) ... -11.0 eV per formula unit
! Space group ... P-3m1 (164)

! PBE TePb4Br6, relaxed; values from VASP
&SYSTEM
  ibrav = 0, nat = 22, ntyp = 3
/
ATOMIC_SPECIES
Te 127.60 Te.upf
Pb 207.20 Pb.upf
Br 79.90 Br.upf
ATOMIC_POSITIONS crystal
Te 0.7298 0.3333 0.6667
Te 0.2298 0.6667 0.3333
Pb 0.3214 0.3333 0.6667
Pb 0.8214 0.6667 0.3333
Pb 0.8726 0.6355 0.8178
Pb 0.8726 0.1822 0.3645
Pb 0.8726 0.1822 0.8178
Pb 0.3726 0.3645 0.1822
Pb 0.3726 0.8178 0.6355
Pb 0.3726 0.8178 0.1822
Br 0.4858 0.7220 0.8610
Br 0.4858 0.1390 0.2780
Br 0.4858 0.1390 0.8610
Br 0.9858 0.2780 0.1390
Br 0.9858 0.8610 0.7220
Br 0.9858 0.8610 0.1390
Br 0.6220 0.9337 0.4668
Br 0.6220 0.5332 0.0663
Br 0.6220 0.5332 0.4668
Br 0.1220 0.0663 0.5332
Br 0.1220 0.4668 0.9337
Br 0.1220 0.4668 0.5332
CELL_PARAMETERS angstrom
7.6264 0.0000 0.0000
0.0000 9.4560 -5.4594
0.0000 0.0000 10.9189
! ΔE_f (raw) ... -8.0 eV per formula unit
! Space group ... P6_3mc (186)

! PBE SrLa3Ru, relaxed; values from VASP
&SYSTEM
  ibrav = 0, nat = 5, ntyp = 3
/
ATOMIC_SPECIES
Ru 101.07 Ru.upf
Sr 87.62 Sr.upf
La 138.91 La.upf
ATOMIC_POSITIONS crystal
Ru 0.5000 0.5000 0.5000
Sr 0.0000 0.0000 0.0000
La 0.0000 0.5000 0.0000
La 0.0000 0.0000 0.5000
La 0.5000 0.0000 0.0000
CELL_PARAMETERS angstrom
-5.0565 2.3055 -0.2067
-1.7968 -3.5963 3.8425
1.4593 3.5606 4.0149
! Space group ... Pm-3m (221)

! PBE K4ClO, relaxed; values from VASP
&SYSTEM
  ibrav = 0, nat = 6, ntyp = 3
/
ATOMIC_SPECIES
K 39.10 K.upf
Cl 35.45 Cl.upf
O 16.00 O.upf
ATOMIC_POSITIONS crystal
K 0.5014 0.8263 0.3297
K 0.5012 0.1683 0.6665
K 0.0013 0.7346 0.7641
K 0.0013 0.2600 0.2322
Cl 0.5013 0.4973 0.9981
O 0.0012 0.9973 0.4982
CELL_PARAMETERS angstrom
4.2048 0.0254 0.0082
-0.0423 7.1794 -0.1353
-0.0150 0.2706 7.1825
! ΔE_f (raw) ... -6.6 eV per formula unit
! Space group ... P2/m (10)

! PBE NaHg2I, relaxed; values from VASP
&SYSTEM
  ibrav = 0, nat = 4, ntyp = 3
/
ATOMIC_SPECIES
I 126.90 I.upf
Na 22.99 Na.upf
Hg 200.59 Hg.upf
ATOMIC_POSITIONS crystal
I 0.5000 0.0000 0.0000
Na 0.5000 0.5000 0.5000
Hg 0.0000 0.0000 0.5000
Hg 0.0000 0.5000 0.0000
CELL_PARAMETERS angstrom
6.7783 0.0000 0.0000
0.0000 4.4835 0.0000
0.0000 0.0000 4.4835
! ΔE_f (raw) ... -2.1 eV per formula unit
! Space group ... P4/mmm (123)

! PBE BeMoS2Cl, relaxed; values from VASP
&SYSTEM
  ibrav = 0, nat = 5, ntyp = 4
/
ATOMIC_SPECIES
Be 9.01 Be.upf
Mo 95.94 Mo.upf
S 32.06 S.upf
Cl 35.45 Cl.upf
ATOMIC_POSITIONS crystal
Be 0.5000 0.5000 0.5000
Mo 0.0000 0.0000 0.0000
S 0.0000 0.5000 0.0000
S 0.5000 0.0000 0.0000
Cl 0.0000 0.0000 0.5000
CELL_PARAMETERS angstrom
-4.3449 1.6538 0.2573
-1.0392 -2.1046 -4.0212
-1.3853 -4.0226 2.4633
! ΔE_f (raw) ... 2.0 eV per formula unit
! Space group ... P4/mmm (123)

! PBE YTa2Fe9, relaxed; values from VASP
&SYSTEM
  ibrav = 0, nat = 12, ntyp = 3
/
ATOMIC_SPECIES
Y 88.91 Y.upf
Ta 180.95 Ta.upf
Fe 55.84 Fe.upf
ATOMIC_POSITIONS crystal
Y 0.0000 0.0000 0.0000
Ta 0.8559 0.8559 0.4324
Ta 0.1441 0.1441 0.5676
Fe 0.6665 0.6665 0.0006
Fe 0.3335 0.3335 0.9994
Fe 0.5000 0.5000 0.5000
Fe 0.4112 0.4112 0.2599
Fe 0.9177 0.4112 0.2599
Fe 0.4112 0.9177 0.2599
Fe 0.5888 0.5888 0.7401
Fe 0.5888 0.0823 0.7401
Fe 0.0823 0.5888 0.7401
CELL_PARAMETERS angstrom
4.6990 0.0000 1.3985
2.1414 4.1827 1.3985
0.0718 0.0439 8.3523
! Space group ... R-3m (166)

! PBE AsP2, relaxed; values from VASP
&SYSTEM
  ibrav = 0, nat = 6, ntyp = 2
/
ATOMIC_SPECIES
As 74.92 As.upf
P 30.97 P.upf
ATOMIC_POSITIONS crystal
As 0.7500 0.7500 0.0000
As 0.2500 0.2500 0.0000
P 0.3639 0.1361 0.5000
P 0.6361 0.8639 0.5000
P 0.1361 0.6361 0.7721
P 0.8639 0.3639 0.2279
CELL_PARAMETERS angstrom
-2.7867 2.7867 3.4078
2.7867 -2.7867 3.4078
2.7867 2.7867 -3.4078
! Space group ... I4/mcm (140)

! PBE Sm6YTm3Th2, relaxed; values from VASP
&SYSTEM
  ibrav = 0, nat = 12, ntyp = 4
/
ATOMIC_SPECIES
Sm 150.36 Sm.upf
Y 88.91 Y.upf
Tm 168.93 Tm.upf
Th 232.04 Th.upf
ATOMIC_POSITIONS crystal
Sm 0.9163 0.5798 0.7502
Sm 0.7467 0.7467 0.2504
Sm 0.0837 0.4202 0.2498
Sm 0.5798 0.9163 0.7502
Sm 0.2533 0.2533 0.7496
Sm 0.4202 0.0837 0.2498
Y 0.0000 0.0000 0.0000
Tm 0.1667 0.8333 0.5000
Tm 0.8333 0.1667 0.5000
Tm 0.5000 0.5000 0.5000
Th 0.3336 0.6664 0.0000
Th 0.6664 0.3336 0.0000
CELL_PARAMETERS angstrom
-2.9854 -2.0371 5.0400
4.5965 -3.3678 -2.4483
7.1768 7.3724 5.9565
! Space group ... C2/m (12)

! PBE TbTiFe11C, relaxed; values from VASP
&SYSTEM
  ibrav = 0, nat = 14, ntyp = 4
/
ATOMIC_SPECIES
Tb 158.93 Tb.upf
Ti 47.87 Ti.upf
Fe 55.84 Fe.upf
C 12.01 C.upf
ATOMIC_POSITIONS crystal
Tb 0.0076 0.9924 0.0076
Ti 0.6334 0.3666 0.6334
Fe 0.7250 0.7750 0.2250
Fe 0.2772 0.2228 0.7772
Fe 0.4977 0.7822 0.7777
Fe 0.4977 0.2223 0.2178
Fe 0.5003 0.9979 0.4993
Fe 0.0012 0.9979 0.4993
Fe 0.5003 0.5007 0.0021
Fe 0.0012 0.5007 0.0021
Fe 0.3569 0.6431 0.3569
Fe 0.0000 0.3585 0.3585
Fe 0.0000 0.6415 0.6415
C 0.5016 0.9984 0.0016
CELL_PARAMETERS angstrom
4.8618 0.0000 0.0000
2.4309 6.0250 0.0069
-2.4309 0.0385 6.0249
! Space group ... Imm2 (44)

! PBE La5Nd4Y, relaxed; values from VASP
&SYSTEM
  ibrav = 0, nat = 20, ntyp = 3
/
ATOMIC_SPECIES
La 138.91 La.upf
Nd 144.24 Nd.upf
Y 88.91 Y.upf
ATOMIC_POSITIONS crystal
La 0.2814 0.7450 0.8188
La 0.2814 0.2550 0.8188
La 0.7865 0.5000 0.0000
La 0.2814 0.7450 0.1812
La 0.2814 0.2550 0.1812
La 0.7186 0.7550 0.3188
La 0.7186 0.2450 0.3188
La 0.2135 0.0000 0.5000
La 0.7186 0.2450 0.6812
La 0.7186 0.7550 0.6812
Nd 0.9959 0.0000 0.7047
Nd 0.5420 0.7545 0.0000
Nd 0.5420 0.2455 0.0000
Nd 0.9959 0.0000 0.2953
Nd 0.0041 0.5000 0.2047
Nd 0.4580 0.7455 0.5000
Nd 0.4580 0.2545 0.5000
Nd 0.0041 0.5000 0.7953
Y 0.8149 0.0000 0.0000
Y 0.1851 0.5000 0.5000
CELL_PARAMETERS angstrom
11.7444 0.0000 0.0000
0.0000 6.9439 0.0000
0.0000 0.0000 9.2564
! Space group ... Pmmn (59)

no.,electronic total energy (eV for the cell shown)
1,-17.87
2,-35.10
3,-71.98
4,-17.55
5,-17.82
6,-5.60
7,-22.63
8,-107.97
9,-28.45
10,-62.56
11,-116.12
12,-94.20